Record 1
Computed, not measured: an optimized crystal structure of Pr2CdC at the PBE level of DFT.

The structure in extended XYZ format:
```
4
Lattice="-1.9899 -2.0969 2.2653 1.4636 -3.0416 1.4473 3.0418 3.4572 8.8494" Properties=species:S:1:pos:R:3 pbc="T T T"
C 1.2578 -0.8407 6.2809
Cd 0.0000 0.0000 0.0000
Pr 0.6119 -3.3096 6.4053
Pr 1.9037 1.6282 6.1566
```

DFT total energy   -19.7 eV per cell
N(E_F)   0.77 states/eV/atom
Space-group type   R-3m (166)

***

Record 2
Computed, not measured: an optimized crystal structure of Pr2CdRuC at the PBE level of DFT.

The structure in extended XYZ format:
```
5
Lattice="-2.5666 2.3756 1.8256 -0.3822 -3.4926 4.0074 4.0293 2.4303 2.5024" Properties=species:S:1:pos:R:3 pbc="T T T"
C 0.0000 0.0000 0.0000
Ru -1.2833 1.1878 0.9128
Pr 2.0147 1.2152 1.2512
Cd 0.5403 0.6566 4.1677
Pr -0.1911 -1.7463 2.0037
```

DFT total energy   -30.3 eV per cell
N(E_F)   0.53 states/eV/atom
Space-group type   P4/mmm (123)

***

Record 3
Computed, not measured: an optimized crystal structure of Pr2SmCdC at the PBE level of DFT.

The structure in extended XYZ format:
```
5
Lattice="-4.6050 2.0208 -0.0100 -1.2125 -2.7841 -4.2157 -1.6995 -3.8579 3.0366" Properties=species:S:1:pos:R:3 pbc="T T T"
Cd -3.7585 -2.3106 -0.5946
Sm -2.3025 1.0104 -0.0050
Pr -0.8498 -1.9290 1.5183
C 0.0000 0.0000 0.0000
Pr -0.6062 -1.3920 -2.1078
```

DFT total energy   -25.1 eV per cell
N(E_F)   1.07 states/eV/atom
Space-group type   P4/mmm (123)

***

Record 4
Computed, not measured: an optimized crystal structure of PrSm2CdC at the PBE level of DFT.

The structure in extended XYZ format:
```
5
Lattice="-3.3554 0.6898 -3.9140 2.4631 -3.4659 -2.7224 -2.9691 -3.6097 1.9092" Properties=species:S:1:pos:R:3 pbc="T T T"
Sm 1.2316 -1.7329 -1.3612
C 0.0000 0.0000 0.0000
Pr -1.6777 0.3449 -1.9570
Cd -1.9307 -3.1929 -2.3636
Sm -1.4845 -1.8049 0.9546
```

DFT total energy   -25.2 eV per cell
N(E_F)   1.14 states/eV/atom
Space-group type   P4/mmm (123)